No. 1
Here is crystalline RbVIn2 at its relaxed geometry from Alexandria via LeMat-Bulk. Energies are from PBE-GGA.

POSCAR file:
```
RbVIn2
1.0
6.0581 0.0000 0.0000
0.0000 6.0581 0.0000
3.0291 3.0291 9.2109
In Rb V
4 2 2
direct
0.3758 0.1250 0.2500
0.3742 0.6250 0.2500
0.3750 0.6242 0.7500
0.8750 0.6258 0.7500
0.0000 0.0000 0.0000
0.7500 0.2500 0.5000
0.5000 0.5000 0.0000
0.2500 0.7500 0.5000
```

## Properties
VASP energy   -3.31 eV/atom
SG   I4_1/amd
Crystal system   tetragonal
DOS(E_F)   1.12 states/eV/atom
E_form   0.58 eV per atom
Energy above the most stable polymorph in this dataset   0 meV per atom



No. 2
Here is crystalline RbV3In at its relaxed geometry from Alexandria via LeMat-Bulk. Energies are from PBE-GGA.

POSCAR file:
```
RbV3In
1.0
4.5435 0.0000 0.0000
0.0000 4.5435 0.0000
0.0000 0.0000 4.5435
In Rb V
1 1 3
direct
0.5000 0.5000 0.5000
0.0000 0.0000 0.0000
0.0000 0.5000 0.0000
0.0000 0.0000 0.5000
0.5000 0.0000 0.0000
```

## Properties
VASP energy   -3.84 eV/atom
SG   Pm-3m
Crystal system   cubic
DOS(E_F)   0.76 states/eV/atom
E_form   2.37 eV per atom
Energy above the most stable polymorph in this dataset   856 meV per atom



No. 3
Here is crystalline RbV2In at its relaxed geometry from Alexandria via LeMat-Bulk. Energies are from PBE-GGA.

POSCAR file:
```
RbV2In
1.0
4.6816 0.0000 0.0000
0.0000 4.6816 0.0000
2.3408 2.3408 10.4261
In Rb V
2 2 4
direct
0.0000 0.0000 0.0000
0.7500 0.2500 0.5000
0.5000 0.5000 0.0000
0.2500 0.7500 0.5000
0.8749 0.1250 0.2500
0.8751 0.6250 0.2500
0.3750 0.1251 0.7500
0.8750 0.1249 0.7500
```

## Properties
VASP energy   -4.23 eV/atom
SG   I4_1/amd
Crystal system   tetragonal
DOS(E_F)   1.18 states/eV/atom
E_form   1.25 eV per atom



No. 4
Here is crystalline RbV3In at its relaxed geometry from Alexandria via LeMat-Bulk. Energies are from PBE-GGA.

POSCAR file:
```
RbV3In
1.0
-5.0964 -1.1829 1.1839
1.3096 -0.4562 5.1818
-1.0420 5.2122 0.7222
In Rb V
1 1 3
direct
0.0000 0.0000 0.0000
0.5000 0.5000 0.5000
0.0000 0.5000 0.0000
0.0000 0.0000 0.5000
0.5000 0.0000 0.0000
```

## Properties
VASP energy   -4.70 eV/atom
SG   Pm-3m
Crystal system   cubic
DOS(E_F)   2.30 states/eV/atom
E_form   1.52 eV per atom
Energy above the most stable polymorph in this dataset   0 meV per atom



No. 5
Here is crystalline RbVIn2 at its relaxed geometry from Alexandria via LeMat-Bulk. Energies are from PBE-GGA.

POSCAR file:
```
RbVIn2
1.0
0.0000 3.8292 3.8292
3.8292 0.0000 3.8292
3.8292 3.8292 0.0000
In Rb V
2 1 1
direct
0.2500 0.2500 0.2500
0.7500 0.7500 0.7500
0.5000 0.5000 0.5000
0.0000 0.0000 0.0000
```

## Properties
VASP energy   -3.25 eV/atom
SG   Fm-3m
Crystal system   cubic
DOS(E_F)   1.42 states/eV/atom
E_form   0.64 eV per atom
Energy above the most stable polymorph in this dataset   65 meV per atom



No. 6
Here is crystalline RbV2InW at its relaxed geometry from Alexandria via LeMat-Bulk. Energies are from PBE-GGA.

POSCAR file:
```
RbV2InW
1.0
-3.8874 -2.0114 2.1852
0.1723 -3.7460 -3.1417
3.3546 -2.7375 3.4480
V Rb W In
2 1 1 1
direct
0.0000 0.5000 0.0000
0.5000 0.0000 0.0000
0.5000 0.5000 0.5000
0.0000 0.0000 0.0000
0.0000 0.0000 0.5000
```

## Properties
VASP energy   -5.82 eV/atom
SG   P4/mmm
Crystal system   tetragonal
DOS(E_F)   1.66 states/eV/atom
E_form   1.16 eV per atom



No. 7
Here is crystalline RbIn2W at its relaxed geometry from Alexandria via LeMat-Bulk. Energies are from PBE-GGA.

POSCAR file:
```
RbIn2W
1.0
0.0000 3.7471 3.7471
3.7471 0.0000 3.7471
3.7471 3.7471 0.0000
Rb W In
1 1 2
direct
0.0000 0.0000 0.0000
0.5000 0.5000 0.5000
0.2500 0.2500 0.2500
0.7500 0.7500 0.7500
```

## Properties
VASP energy   -3.70 eV/atom
SG   Fm-3m
Crystal system   cubic
DOS(E_F)   0.58 states/eV/atom
E_form   1.15 eV per atom
Energy above the most stable polymorph in this dataset   85 meV per atom



No. 8
Here is crystalline Rb3InW at its relaxed geometry from Alexandria via LeMat-Bulk. Energies are from PBE-GGA.

POSCAR file:
```
Rb3InW
1.0
-3.3900 4.7304 -3.8084
3.6083 -1.9393 -5.6207
-4.8847 -4.7154 -1.5090
Rb W In
3 1 1
direct
0.0000 0.5000 0.0000
0.0000 0.0000 0.5000
0.5000 0.0000 0.0000
0.0000 0.0000 0.0000
0.5000 0.5000 0.5000
```

## Properties
VASP energy   -2.24 eV/atom
SG   Pm-3m
Crystal system   cubic
DOS(E_F)   1.03 states/eV/atom
E_form   1.48 eV per atom
Energy above the most stable polymorph in this dataset   0 meV per atom



No. 9
Here is crystalline RbInW3 at its relaxed geometry from Alexandria via LeMat-Bulk. Energies are from PBE-GGA.

POSCAR file:
```
RbInW3
1.0
5.1116 0.0000 0.0000
0.0000 5.1116 0.0000
0.0000 0.0000 5.1116
Rb W In
1 3 1
direct
0.5000 0.5000 0.5000
0.0000 0.5000 0.0000
0.0000 0.0000 0.5000
0.5000 0.0000 0.0000
0.0000 0.0000 0.0000
```

## Properties
VASP energy   -5.40 eV/atom
SG   Pm-3m
Crystal system   cubic
DOS(E_F)   1.69 states/eV/atom
E_form   3.11 eV per atom
Energy above the most stable polymorph in this dataset   0 meV per atom



No. 10
Here is crystalline RbInW3 at its relaxed geometry from Alexandria via LeMat-Bulk. Energies are from PBE-GGA.

POSCAR file:
```
RbInW3
1.0
4.7696 0.0000 0.0000
0.0000 4.7696 0.0000
0.0000 0.0000 4.7696
Rb W In
1 3 1
direct
0.0000 0.0000 0.0000
0.0000 0.5000 0.0000
0.0000 0.0000 0.5000
0.5000 0.0000 0.0000
0.5000 0.5000 0.5000
```

## Properties
VASP energy   -4.76 eV/atom
SG   Pm-3m
Crystal system   cubic
DOS(E_F)   1.41 states/eV/atom
E_form   3.76 eV per atom
Energy above the most stable polymorph in this dataset   643 meV per atom



No. 11
Here is crystalline RbIn2W at its relaxed geometry from Alexandria via LeMat-Bulk. Energies are from PBE-GGA.

POSCAR file:
```
RbIn2W
1.0
6.0926 0.0000 0.0000
0.0000 6.0926 0.0000
3.0463 3.0463 9.0949
Rb W In
2 2 4
direct
0.5000 0.5000 0.0000
0.2500 0.7500 0.5000
0.0000 0.0000 0.0000
0.7500 0.2500 0.5000
0.8751 0.1250 0.2500
0.8749 0.6250 0.2500
0.3750 0.1249 0.7500
0.8750 0.1251 0.7500
```

## Properties
VASP energy   -3.79 eV/atom
SG   I4_1/amd
Crystal system   tetragonal
DOS(E_F)   0.96 states/eV/atom
E_form   1.06 eV per atom
Energy above the most stable polymorph in this dataset   0 meV per atom



No. 12
Here is crystalline RbInW2 at its relaxed geometry from Alexandria via LeMat-Bulk. Energies are from PBE-GGA.

POSCAR file:
```
RbInW2
1.0
8.5117 0.0000 0.0000
0.0000 8.5117 0.0000
4.2558 4.2558 2.7117
Rb W In
2 4 2
direct
0.5000 0.5000 0.0000
0.2500 0.7500 0.5000
0.6707 0.1250 0.2500
0.0793 0.6250 0.2500
0.3750 0.3293 0.7500
0.8750 0.9207 0.7500
0.0000 0.0000 0.0000
0.7500 0.2500 0.5000
```

## Properties
VASP energy   -5.14 eV/atom
SG   I-42d
Crystal system   tetragonal
DOS(E_F)   1.29 states/eV/atom
E_form   2.27 eV per atom



No. 13
Here is crystalline RbZr2InW at its relaxed geometry from Alexandria via LeMat-Bulk. Energies are from PBE-GGA.

POSCAR file:
```
RbZr2InW
1.0
-1.7664 -3.2832 -3.3129
3.6684 -2.9583 0.9759
-2.7022 -2.1671 3.5884
Rb Zr W In
1 2 1 1
direct
0.0000 0.0000 0.0000
0.0000 0.0000 0.5000
0.5000 0.0000 0.0000
0.0000 0.5000 0.0000
0.5000 0.5000 0.5000
```

## Properties
VASP energy   -4.36 eV/atom
SG   P4/mmm
Crystal system   tetragonal
DOS(E_F)   0.77 states/eV/atom
E_form   2.39 eV per atom
Energy above the most stable polymorph in this dataset   1636 meV per atom



No. 14
Here is crystalline RbZr2InW at its relaxed geometry from Alexandria via LeMat-Bulk. Energies are from PBE-GGA.

POSCAR file:
```
RbZr2InW
1.0
5.1804 0.0000 0.0000
0.0000 5.5896 0.0000
0.0000 0.0000 5.1804
Rb Zr W In
1 2 1 1
direct
0.5000 0.5000 0.5000
0.0000 0.0000 0.5000
0.5000 0.0000 0.0000
0.0000 0.0000 0.0000
0.0000 0.5000 0.0000
```

## Properties
VASP energy   -6.00 eV/atom
SG   P4/mmm
Crystal system   tetragonal
DOS(E_F)   0.85 states/eV/atom
E_form   0.75 eV per atom
Energy above the most stable polymorph in this dataset   0 meV per atom



No. 15
Here is crystalline Rb2ZrInW at its relaxed geometry from Alexandria via LeMat-Bulk. Energies are from PBE-GGA.

POSCAR file:
```
Rb2ZrInW
1.0
-4.7432 3.1480 3.2415
1.7064 -2.1883 4.6220
4.0147 5.0926 0.9289
Rb Zr W In
2 1 1 1
direct
0.0000 0.0000 0.5000
0.5000 0.0000 0.0000
0.5000 0.5000 0.5000
0.0000 0.0000 0.0000
0.0000 0.5000 0.0000
```

## Properties
VASP energy   -3.17 eV/atom
SG   P4/mmm
Crystal system   tetragonal
DOS(E_F)   2.07 states/eV/atom
E_form   2.07 eV per atom



No. 16
Here is crystalline RbZr2InW at its relaxed geometry from Alexandria via LeMat-Bulk. Energies are from PBE-GGA.

POSCAR file:
```
RbZr2InW
1.0
-3.2472 -4.4238 -0.4088
2.4087 -1.3700 -4.3077
3.6111 -2.9232 2.9488
Rb Zr W In
1 2 1 1
direct
0.5000 0.5000 0.5000
0.0000 0.0000 0.5000
0.5000 0.0000 0.0000
0.0000 0.5000 0.0000
0.0000 0.0000 0.0000
```

## Properties
VASP energy   -4.95 eV/atom
SG   P4/mmm
Crystal system   tetragonal
DOS(E_F)   2.41 states/eV/atom
E_form   1.80 eV per atom
Energy above the most stable polymorph in this dataset   1044 meV per atom



No. 17
Here is crystalline RbY3In at its relaxed geometry from Alexandria via LeMat-Bulk. Energies are from PBE-GGA.

POSCAR file:
```
RbY3In
1.0
5.9412 0.0000 0.0000
0.0000 5.9412 0.0000
0.0000 0.0000 5.9412
Y Rb In
3 1 1
direct
0.0000 0.5000 0.0000
0.0000 0.0000 0.5000
0.5000 0.0000 0.0000
0.5000 0.5000 0.5000
0.0000 0.0000 0.0000
```

## Properties
VASP energy   -4.20 eV/atom
SG   Pm-3m
Crystal system   cubic
DOS(E_F)   1.97 states/eV/atom
E_form   0.42 eV per atom
Energy above the most stable polymorph in this dataset   0 meV per atom



No. 18
Here is crystalline RbY3In at its relaxed geometry from Alexandria via LeMat-Bulk. Energies are from PBE-GGA.

POSCAR file:
```
RbY3In
1.0
-3.5628 -3.4507 -2.3638
0.5572 -3.4690 4.2243
-4.1455 2.4995 2.5994
Y Rb In
3 1 1
direct
0.0000 0.5000 0.0000
0.0000 0.0000 0.5000
0.5000 0.0000 0.0000
0.0000 0.0000 0.0000
0.5000 0.5000 0.5000
```

## Properties
VASP energy   -3.42 eV/atom
SG   Pm-3m
Crystal system   cubic
DOS(E_F)   0.81 states/eV/atom
E_form   1.20 eV per atom
Energy above the most stable polymorph in this dataset   788 meV per atom



No. 19
Here is crystalline RbY2In at its relaxed geometry from Alexandria via LeMat-Bulk. Energies are from PBE-GGA.

POSCAR file:
```
RbY2In
1.0
6.4366 0.0000 0.0000
0.0000 6.4366 0.0000
3.2183 3.2183 10.4338
Y Rb In
4 2 2
direct
0.8738 0.1250 0.2500
0.8762 0.6250 0.2500
0.3750 0.1262 0.7500
0.8750 0.1238 0.7500
0.5000 0.5000 0.0000
0.2500 0.7500 0.5000
0.0000 0.0000 0.0000
0.7500 0.2500 0.5000
```

## Properties
VASP energy   -3.51 eV/atom
SG   I-42d
Crystal system   tetragonal
DOS(E_F)   0.92 states/eV/atom
E_form   0.65 eV per atom



No. 20
Here is crystalline Rb2YIn at its relaxed geometry from Alexandria via LeMat-Bulk. Energies are from PBE-GGA.

POSCAR file:
```
Rb2YIn
1.0
12.9664 0.0000 0.0000
0.0000 12.9664 0.0000
6.4832 6.4832 2.9918
Y Rb In
2 4 2
direct
0.5000 0.5000 0.0000
0.2500 0.7500 0.5000
0.7514 0.1250 0.2500
0.9986 0.6250 0.2500
0.3750 0.2486 0.7500
0.8750 0.0014 0.7500
0.0000 0.0000 0.0000
0.7500 0.2500 0.5000
```

## Properties
VASP energy   -2.33 eV/atom
SG   I-42d
Crystal system   tetragonal
DOS(E_F)   1.16 states/eV/atom
E_form   0.46 eV per atom